Material: Pm6Sm8Th
Method: DFT, PBE
State: optimized geometry

abc: 8.7991 8.7991 8.7991
angles: 63.24 63.24 63.24
Atoms (fractional coordinates):
Pm 0.0383 0.7353 0.6006
Pm 0.2647 0.3994 0.9617
Pm 0.3994 0.9617 0.2647
Pm 0.6006 0.0383 0.7353
Pm 0.7353 0.6006 0.0383
Pm 0.9617 0.2647 0.3994
Sm 0.0773 0.0773 0.0773
Sm 0.2170 0.2536 0.6135
Sm 0.2536 0.6135 0.2170
Sm 0.3865 0.7830 0.7464
Sm 0.6135 0.2170 0.2536
Sm 0.7464 0.3865 0.7830
Sm 0.7830 0.7464 0.3865
Sm 0.9227 0.9227 0.9227
Th 0.5000 0.5000 0.5000

For the theoretical density, the calculation gives 7.413 g cm⁻³. The energy of formation from the pure elements is 118 meV per atom.

Material: Pm12Sm6Th
Method: DFT, PBE
State: optimized geometry

abc: 8.8514 8.8514 8.8514
angles: 98.21 98.21 98.21
Atoms (fractional coordinates):
Pm 0.0000 0.2625 0.7375
Pm 0.0000 0.7375 0.2625
Pm 0.1704 0.5850 0.5850
Pm 0.2625 0.0000 0.7375
Pm 0.2625 0.7375 0.0000
Pm 0.4150 0.4150 0.8296
Pm 0.4150 0.8296 0.4150
Pm 0.5850 0.1704 0.5850
Pm 0.5850 0.5850 0.1704
Pm 0.7375 0.0000 0.2625
Pm 0.7375 0.2625 0.0000
Pm 0.8296 0.4150 0.4150
Sm 0.1399 0.1399 0.4042
Sm 0.1399 0.4042 0.1399
Sm 0.4042 0.1399 0.1399
Sm 0.5958 0.8601 0.8601
Sm 0.8601 0.5958 0.8601
Sm 0.8601 0.8601 0.5958
Th 0.0000 0.0000 0.0000

For the theoretical density, the calculation gives 7.125 g cm⁻³. The energy of formation from the pure elements is 123 meV per atom.

Material: Pm4Sm8Th
Method: DFT, PBE
State: optimized geometry

abc: 7.8830 7.8830 7.8830
angles: 90.10 90.10 90.10
Atoms (fractional coordinates):
Pm 0.0000 0.0000 0.0000
Pm 0.0000 0.5000 0.5000
Pm 0.5000 0.0000 0.5000
Pm 0.5000 0.5000 0.0000
Sm 0.2404 0.2404 0.2404
Sm 0.2402 0.2402 0.7586
Sm 0.2402 0.7586 0.2402
Sm 0.2414 0.7598 0.7598
Sm 0.7586 0.2402 0.2402
Sm 0.7598 0.2414 0.7598
Sm 0.7598 0.7598 0.2414
Sm 0.7596 0.7596 0.7596
Th 0.5000 0.5000 0.5000

For the theoretical density, the calculation gives 6.830 g cm⁻³. The energy of formation from the pure elements is 492 meV per atom.

Material: Pm8Sm2Th
Method: DFT, PBE
State: optimized geometry

abc: 10.3379 10.3379 5.7364
angles: 94.15 94.15 39.33
Atoms (fractional coordinates):
Pm 0.0470 0.0470 0.2305
Pm 0.1106 0.6339 0.2754
Pm 0.3169 0.3169 0.7765
Pm 0.3661 0.8894 0.7246
Pm 0.6339 0.1106 0.2754
Pm 0.6831 0.6831 0.2235
Pm 0.8894 0.3661 0.7246
Pm 0.9530 0.9530 0.7695
Sm 0.2182 0.2182 0.2550
Sm 0.7818 0.7818 0.7450
Th 0.5000 0.5000 0.0000

For the theoretical density, the calculation gives 7.256 g cm⁻³. The energy of formation from the pure elements is 194 meV per atom.